(1)
The following is a GGA-PBE calculation of an optimized crystal structure of Dy12Y5Mg2, from the Alexandria database.

```
data_Dy12Y5Mg2
_chemical_formula_sum 'Dy24 Y10 Mg4'
_space_group_name_H-M_alt 'C 1 2/m 1'
_space_group_IT_number 12
_cell_length_a 15.816
_cell_length_b 9.034
_cell_length_c 8.383
_cell_angle_alpha 90.00
_cell_angle_beta 90.72
_cell_angle_gamma 90.00
loop_
_space_group_symop_operation_xyz
'x,y,z'
'-x,-y,-z'
'-x,y,-z'
'x,-y,z'
'x+1/2,y+1/2,z'
'-x+1/2,-y+1/2,-z'
'-x+1/2,y+1/2,-z'
'x+1/2,-y+1/2,z'
loop_
_atom_site_label
_atom_site_type_symbol
_atom_site_fract_x
_atom_site_fract_y
_atom_site_fract_z
Dy1 Dy 0.056 0.000 0.336
Dy2 Dy 0.089 0.500 0.894
Dy3 Dy 0.125 0.195 0.668
Dy4 Dy 0.152 0.314 0.244
Y1 Y 0.000 0.500 0.500
Y2 Y 0.199 0.000 0.008
Y3 Y 0.236 0.500 0.577
Mg1 Mg 0.000 0.172 0.000
```

=====

(2)
The following is a GGA-PBE calculation of an optimized crystal structure of Dy2Y2Mg3, from the Alexandria database.

```
data_Dy2Y2Mg3
_chemical_formula_sum 'Dy4 Y4 Mg6'
_space_group_name_H-M_alt 'I 4/m m m'
_space_group_IT_number 139
_space_group_name_Hall '-I 4 2'
_cell_length_a 3.757
_cell_length_b 3.757
_cell_length_c 27.801
_cell_angle_alpha 90.00
_cell_angle_beta 90.00
_cell_angle_gamma 90.00
loop_
_atom_site_label
_atom_site_type_symbol
_atom_site_fract_x
_atom_site_fract_y
_atom_site_fract_z
Dy1 Dy 0.000 0.000 0.208
Y1 Y 0.000 0.000 0.068
Mg1 Mg 0.000 0.000 0.362
Mg2 Mg 0.000 0.000 0.500
```

=====

Here are the calculated formation energy numbers, same order: 2.26; -1.76 (kcal/mol of atoms).